1.
# GGA-PBE ScPdO2, optimized geometry
# - mass density (Mg/m³) = 5.815
# - uncorrected formation energy (eV/atom) = -2.21
# - space-group type = R-3m, No. 166
# - volume (Å³/atom) = 13.09
# - size of the total moment (μB per formula unit) = 0.0
data_ScPdO2
_chemical_formula_sum 'Sc1 Pd1 O2'
_cell_length_a 6.378
_cell_length_b 6.378
_cell_length_c 6.378
_cell_angle_alpha 28.54
_cell_angle_beta 28.54
_cell_angle_gamma 28.54
_symmetry_space_group_name_H-M 'P 1'
_symmetry_Int_Tables_number 1
loop_
_symmetry_equiv_pos_as_xyz
'x,y,z'
loop_
_atom_site_label
_atom_site_fract_x
_atom_site_fract_y
_atom_site_fract_z
_atom_site_occupancy
Sc1 0.500 0.500 0.500 1
O1 0.890 0.890 0.890 1
O2 0.110 0.110 0.110 1
Pd1 0.000 0.000 0.000 1

=====

2.
# GGA-PBE Sc2PdO, optimized geometry
# - mass density (Mg/m³) = 4.958
# - uncorrected formation energy (eV/atom) = -1.74
# - space-group type = I-42d, No. 122
# - volume (Å³/atom) = 17.78
# - size of the total moment (μB per formula unit) = 0.0
data_Sc2PdO
_chemical_formula_sum 'Sc4 Pd2 O2'
_cell_length_a 5.998
_cell_length_b 5.998
_cell_length_c 5.798
_cell_angle_alpha 58.85
_cell_angle_beta 58.85
_cell_angle_gamma 90.00
_symmetry_space_group_name_H-M 'P 1'
_symmetry_Int_Tables_number 1
loop_
_symmetry_equiv_pos_as_xyz
'x,y,z'
loop_
_atom_site_label
_atom_site_fract_x
_atom_site_fract_y
_atom_site_fract_z
_atom_site_occupancy
Sc1 0.546 0.125 0.250 1
Sc2 0.204 0.625 0.250 1
Sc3 0.375 0.454 0.750 1
Sc4 0.875 0.796 0.750 1
O1 0.500 0.500 0.000 1
O2 0.250 0.750 0.500 1
Pd1 0.000 0.000 0.000 1
Pd2 0.750 0.250 0.500 1

=====

3.
# GGA-PBE Sc4Pd2O, optimized geometry
# - mass density (Mg/m³) = 5.328
# - uncorrected formation energy (eV/atom) = -1.29
# - space-group type = I4/mmm, No. 139
# - volume (Å³/atom) = 18.19
# - size of the total moment (μB per formula unit) = 0.3
data_Sc4Pd2O
_chemical_formula_sum 'Sc4 Pd2 O1'
_cell_length_a 4.297
_cell_length_b 4.297
_cell_length_c 7.538
_cell_angle_alpha 73.44
_cell_angle_beta 73.44
_cell_angle_gamma 90.00
_symmetry_space_group_name_H-M 'P 1'
_symmetry_Int_Tables_number 1
loop_
_symmetry_equiv_pos_as_xyz
'x,y,z'
loop_
_atom_site_label
_atom_site_fract_x
_atom_site_fract_y
_atom_site_fract_z
_atom_site_occupancy
Sc1 0.179 0.179 0.642 1
Sc2 0.821 0.821 0.358 1
Sc3 0.000 0.500 0.000 1
Sc4 0.500 0.000 0.000 1
O1 0.000 0.000 0.000 1
Pd1 0.366 0.366 0.267 1
Pd2 0.634 0.634 0.733 1

=====

4.
# GGA-PBE ScPdO2, optimized geometry
# - mass density (Mg/m³) = 6.883
# - uncorrected formation energy (eV/atom) = -1.42
# - space-group type = Fm-3m, No. 225
# - volume (Å³/atom) = 11.06
# - size of the total moment (μB per formula unit) = 1.0
data_ScPdO2
_chemical_formula_sum 'Sc1 Pd1 O2'
_cell_length_a 3.970
_cell_length_b 3.970
_cell_length_c 3.970
_cell_angle_alpha 60.00
_cell_angle_beta 60.00
_cell_angle_gamma 60.00
_symmetry_space_group_name_H-M 'P 1'
_symmetry_Int_Tables_number 1
loop_
_symmetry_equiv_pos_as_xyz
'x,y,z'
loop_
_atom_site_label
_atom_site_fract_x
_atom_site_fract_y
_atom_site_fract_z
_atom_site_occupancy
Sc1 0.000 0.000 0.000 1
O1 0.250 0.250 0.250 1
O2 0.750 0.750 0.750 1
Pd1 0.500 0.500 0.500 1

=====

5.
# GGA-PBE Sc2PdO, optimized geometry
# - mass density (Mg/m³) = 5.533
# - uncorrected formation energy (eV/atom) = -1.43
# - space-group type = R-3m, No. 166
# - volume (Å³/atom) = 15.93
# - size of the total moment (μB per formula unit) = 0.0
data_Sc2PdO
_chemical_formula_sum 'Sc2 Pd1 O1'
_cell_length_a 7.729
_cell_length_b 7.729
_cell_length_c 7.729
_cell_angle_alpha 23.35
_cell_angle_beta 23.35
_cell_angle_gamma 23.35
_symmetry_space_group_name_H-M 'P 1'
_symmetry_Int_Tables_number 1
loop_
_symmetry_equiv_pos_as_xyz
'x,y,z'
loop_
_atom_site_label
_atom_site_fract_x
_atom_site_fract_y
_atom_site_fract_z
_atom_site_occupancy
Sc1 0.890 0.890 0.890 1
Sc2 0.110 0.110 0.110 1
O1 0.500 0.500 0.500 1
Pd1 0.000 0.000 0.000 1

=====

6.
# GGA-PBE Sc3PdO6, optimized geometry
# - mass density (Mg/m³) = 4.561
# - uncorrected formation energy (eV/atom) = -2.69
# - space-group type = R-3, No. 148
# - volume (Å³/atom) = 12.28
# - size of the total moment (μB per formula unit) = 1.0
data_Sc3PdO6
_chemical_formula_sum 'Sc6 Pd2 O12'
_cell_length_a 6.266
_cell_length_b 6.266
_cell_length_c 6.266
_cell_angle_alpha 91.96
_cell_angle_beta 91.96
_cell_angle_gamma 91.96
_symmetry_space_group_name_H-M 'P 1'
_symmetry_Int_Tables_number 1
loop_
_symmetry_equiv_pos_as_xyz
'x,y,z'
loop_
_atom_site_label
_atom_site_fract_x
_atom_site_fract_y
_atom_site_fract_z
_atom_site_occupancy
Sc1 0.440 0.930 0.753 1
Sc2 0.930 0.753 0.440 1
Sc3 0.247 0.560 0.070 1
Sc4 0.753 0.440 0.930 1
Sc5 0.070 0.247 0.560 1
Sc6 0.560 0.070 0.247 1
Pd1 0.000 0.000 0.000 1
Pd2 0.500 0.500 0.500 1
O1 0.332 0.889 0.076 1
O2 0.111 0.924 0.668 1
O3 0.597 0.811 0.474 1
O4 0.924 0.668 0.111 1
O5 0.474 0.597 0.811 1
O6 0.189 0.526 0.403 1
O7 0.811 0.474 0.597 1
O8 0.526 0.403 0.189 1
O9 0.076 0.332 0.889 1
O10 0.403 0.189 0.526 1
O11 0.889 0.076 0.332 1
O12 0.668 0.111 0.924 1

=====

Question: Which of these has the lowest volume?
Answer: number 4